The following is a DFT calculation (PBE with a Hubbard U) of crystalline V2CoO6 at its relaxed geometry.

```
V2CoO6
1.0
5.886 0.014 -0.007
-1.826 6.573 0.013
1.833 -0.271 6.538
V Co O
4 2 12
direct
0.755 0.208 0.614
0.254 0.388 0.797
0.746 0.612 0.203
0.245 0.792 0.386
0.251 0.915 0.915
0.749 0.085 0.085
0.636 0.038 0.807
0.138 0.193 0.965
0.862 0.807 0.035
0.364 0.962 0.193
0.772 0.092 0.382
0.731 0.382 0.084
0.269 0.618 0.916
0.228 0.908 0.618
0.554 0.374 0.653
0.054 0.349 0.630
0.946 0.651 0.370
0.446 0.626 0.347
```

Values from the calculation:
Total energy in eV/atom: -7.211
Volume in Å³ per cell: 253.2
D(E_F) in states/eV/f.u.: 0.000